[1]
Tb4Sb3 | PBE | optimized geometry

Computed properties:
Magnetization in Bohr magnetons per cell: 0.0
Theoretical density in g cm⁻³: 7.22
E_tot in eV for the cell shown: -36.57
Formation energy (no corrections) in eV/atom: -0.811

a b c (Å): 6.128 6.128 6.128
angles (deg): 90.00 90.00 90.00
Atoms (fractional coordinates):
1 Tb 0.000 0.000 0.000
2 Tb 0.000 0.500 0.500
3 Tb 0.500 0.000 0.500
4 Tb 0.500 0.500 0.000
5 Sb 0.000 0.000 0.500
6 Sb 0.000 0.500 0.000
7 Sb 0.500 0.000 0.000

[2]
Tb2Sb5 | PBE | optimized geometry

Computed properties:
Magnetization in Bohr magnetons per cell: 0.0
Theoretical density in g cm⁻³: 7.60
E_tot in eV for the cell shown: -137.91
Formation energy (no corrections) in eV/atom: -0.658

a b c (Å): 13.259 4.229 14.760
angles (deg): 90.00 102.04 90.00
Atoms (fractional coordinates):
1 Tb 0.047 0.250 0.362
2 Tb 0.331 0.250 0.578
3 Tb 0.338 0.250 0.855
4 Tb 0.393 0.750 0.229
5 Tb 0.607 0.250 0.771
6 Tb 0.662 0.750 0.145
7 Tb 0.669 0.750 0.422
8 Tb 0.953 0.750 0.638
9 Sb 0.031 0.250 0.097
10 Sb 0.138 0.250 0.677
11 Sb 0.141 0.750 0.222
12 Sb 0.144 0.750 0.519
13 Sb 0.152 0.750 0.827
14 Sb 0.280 0.250 0.062
15 Sb 0.286 0.250 0.349
16 Sb 0.420 0.750 0.025
17 Sb 0.424 0.750 0.735
18 Sb 0.425 0.750 0.449
19 Sb 0.575 0.250 0.551
20 Sb 0.576 0.250 0.265
21 Sb 0.580 0.250 0.975
22 Sb 0.714 0.750 0.651
23 Sb 0.720 0.750 0.938
24 Sb 0.848 0.250 0.173
25 Sb 0.856 0.250 0.481
26 Sb 0.859 0.250 0.778
27 Sb 0.862 0.750 0.323
28 Sb 0.969 0.750 0.903

[3]
Tb2Sb | PBE | optimized geometry

Computed properties:
Magnetization in Bohr magnetons per cell: 0.0
Theoretical density in g cm⁻³: 8.21
E_tot in eV for the cell shown: -62.33
Formation energy (no corrections) in eV/atom: -0.734

a b c (Å): 4.171 6.305 13.524
angles (deg): 90.00 90.00 90.00
Atoms (fractional coordinates):
1 Tb 0.000 0.000 0.188
2 Tb 0.000 0.000 0.812
3 Tb 0.000 0.243 0.500
4 Tb 0.000 0.757 0.500
5 Tb 0.500 0.257 0.000
6 Tb 0.500 0.500 0.312
7 Tb 0.500 0.500 0.688
8 Tb 0.500 0.743 0.000
9 Sb 0.000 0.500 0.143
10 Sb 0.000 0.500 0.857
11 Sb 0.500 0.000 0.357
12 Sb 0.500 0.000 0.643

[4]
Tb4Sb3 | PBE | optimized geometry

Computed properties:
Magnetization in Bohr magnetons per cell: 0.0
Theoretical density in g cm⁻³: 8.45
E_tot in eV for the cell shown: -75.94
Formation energy (no corrections) in eV/atom: -1.012

a b c (Å): 7.995 7.995 7.995
angles (deg): 109.47 109.47 109.47
Atoms (fractional coordinates):
1 Tb 0.000 0.356 0.500
2 Tb 0.000 0.856 0.500
3 Tb 0.144 0.144 0.144
4 Tb 0.356 0.500 0.000
5 Tb 0.500 0.000 0.356
6 Tb 0.500 0.000 0.856
7 Tb 0.644 0.644 0.644
8 Tb 0.856 0.500 0.000
9 Sb 0.125 0.750 0.875
10 Sb 0.250 0.625 0.375
11 Sb 0.375 0.250 0.625
12 Sb 0.625 0.375 0.250
13 Sb 0.750 0.875 0.125
14 Sb 0.875 0.125 0.750

[5]
Tb5Sb4 | PBE | optimized geometry

Computed properties:
Magnetization in Bohr magnetons per cell: 0.0
Theoretical density in g cm⁻³: 6.66
E_tot in eV for the cell shown: -47.52
Formation energy (no corrections) in eV/atom: -0.875

a b c (Å): 8.866 8.866 8.866
angles (deg): 93.40 93.40 151.81
Atoms (fractional coordinates):
1 Tb 0.000 0.000 0.000
2 Tb 0.281 0.399 0.680
3 Tb 0.399 0.719 0.118
4 Tb 0.601 0.281 0.882
5 Tb 0.719 0.601 0.320
6 Sb 0.087 0.239 0.326
7 Sb 0.239 0.913 0.152
8 Sb 0.761 0.087 0.848
9 Sb 0.913 0.761 0.674

[6]
TbSb2 | PBE | optimized geometry

Computed properties:
Magnetization in Bohr magnetons per cell: 0.0
Theoretical density in g cm⁻³: 8.29
E_tot in eV for the cell shown: -29.68
Formation energy (no corrections) in eV/atom: -0.654

a b c (Å): 4.026 4.026 9.948
angles (deg): 90.00 90.00 90.00
Atoms (fractional coordinates):
1 Tb 0.000 0.000 0.000
2 Tb 0.500 0.500 0.500
3 Sb 0.000 0.000 0.346
4 Sb 0.000 0.000 0.654
5 Sb 0.500 0.500 0.154
6 Sb 0.500 0.500 0.846

[7]
TbSb2 | PBE | optimized geometry

Computed properties:
Magnetization in Bohr magnetons per cell: 0.0
Theoretical density in g cm⁻³: 7.95
E_tot in eV for the cell shown: -60.43
Formation energy (no corrections) in eV/atom: -0.745

a b c (Å): 4.357 4.357 17.719
angles (deg): 90.00 90.00 88.66
Atoms (fractional coordinates):
1 Tb 0.144 0.856 0.890
2 Tb 0.356 0.644 0.390
3 Tb 0.644 0.356 0.610
4 Tb 0.856 0.144 0.110
5 Sb 0.127 0.373 0.750
6 Sb 0.141 0.859 0.565
7 Sb 0.359 0.641 0.065
8 Sb 0.373 0.127 0.250
9 Sb 0.627 0.873 0.750
10 Sb 0.641 0.359 0.935
11 Sb 0.859 0.141 0.435
12 Sb 0.873 0.627 0.250

[8]
Tb4Sb | PBE | optimized geometry

Computed properties:
Magnetization in Bohr magnetons per cell: 1.6
Theoretical density in g cm⁻³: 6.61
E_tot in eV for the cell shown: -22.18
Formation energy (no corrections) in eV/atom: 0.093

a b c (Å): 5.751 5.751 5.751
angles (deg): 90.00 90.00 90.00
Atoms (fractional coordinates):
1 Tb 0.000 0.000 0.000
2 Tb 0.000 0.500 0.500
3 Tb 0.500 0.000 0.500
4 Tb 0.500 0.500 0.000
5 Sb 0.500 0.500 0.500

Please write out number 5 again, unchanged.
Tb5Sb4 | PBE | optimized geometry

Computed properties:
Magnetization in Bohr magnetons per cell: 0.0
Theoretical density in g cm⁻³: 6.66
E_tot in eV for the cell shown: -47.52
Formation energy (no corrections) in eV/atom: -0.875

a b c (Å): 8.866 8.866 8.866
angles (deg): 93.40 93.40 151.81
Atoms (fractional coordinates):
1 Tb 0.000 0.000 0.000
2 Tb 0.281 0.399 0.680
3 Tb 0.399 0.719 0.118
4 Tb 0.601 0.281 0.882
5 Tb 0.719 0.601 0.320
6 Sb 0.087 0.239 0.326
7 Sb 0.239 0.913 0.152
8 Sb 0.761 0.087 0.848
9 Sb 0.913 0.761 0.674